# 1
# Sm4GeAsSe2

Sm4GeAsSe2 after structural relaxation (PBE-GGA, Alexandria via LeMat-Bulk).

## Properties
space group = P2/m, No. 10
formation energy without anion corrections = -1.5881 eV/atom
total magnetization = 0.000 μB/atom

a b c (Å): 7.295 4.214 7.307
angles (deg): 90.00 109.39 90.00
Positions (direct):
Sm 0.244 0.000 0.239
Sm 0.252 0.500 0.761
Sm 0.748 0.500 0.239
Sm 0.756 0.000 0.761
Ge 0.000 0.500 0.000
As 0.500 0.000 0.000
Se 0.000 0.000 0.500
Se 0.500 0.500 0.500

***

# 2
# BaVZn

BaVZn after structural relaxation (PBE-GGA, Alexandria via LeMat-Bulk).

## Properties
space group = P1, No. 1
excess energy over the best structure of this formula in the dataset = 7 meV/atom
energy relative to the elements = 0.294 eV/atom
total magnetization = 0.000 μB/atom

a b c (Å): 4.237 4.251 10.613
angles (deg): 97.88 93.87 105.01
Positions (direct):
Ba 0.000 0.000 0.000
Ba 0.404 0.322 0.630
V 0.024 0.503 0.329
V 0.801 0.788 0.412
Zn 0.400 0.108 0.322
Zn 0.530 0.604 0.178

***

# 3
# Tm2ZrSe

Tm2ZrSe after structural relaxation (PBE-GGA, Alexandria via LeMat-Bulk).

## Properties
space group = P4/mmm, No. 123
excess energy over the best structure of this formula in the dataset = 67 meV/atom
formation energy without anion corrections = -0.6486 eV/atom
total magnetization = 0.000 μB/atom

a b c (Å): 3.468 3.468 8.139
angles (deg): 90.00 90.00 90.00
Positions (direct):
Tm 0.000 0.000 0.224
Tm 0.000 0.000 0.776
Zr 0.500 0.500 0.500
Se 0.500 0.500 0.000

***

# 4
# LaU2RhN4

LaU2RhN4 after structural relaxation (PBE-GGA, Alexandria via LeMat-Bulk).

## Properties
space group = Cmcm, No. 63
formation energy without anion corrections = -1.1277 eV/atom
total magnetization = 0.258 μB/atom

a b c (Å): 5.986 5.986 11.606
angles (deg): 90.00 90.00 145.41
Positions (direct):
La 0.105 0.895 0.750
La 0.895 0.105 0.250
U 0.371 0.629 0.558
U 0.371 0.629 0.942
U 0.629 0.371 0.058
U 0.629 0.371 0.442
Rh 0.160 0.840 0.250
Rh 0.840 0.160 0.750
N 0.000 0.000 0.000
N 0.000 0.000 0.500
N 0.267 0.733 0.097
N 0.267 0.733 0.403
N 0.450 0.550 0.750
N 0.550 0.450 0.250
N 0.733 0.267 0.597
N 0.733 0.267 0.903